Entry 1:
Here is K3ReCl after structural relaxation from the Alexandria database. Energies are from GGA-PBE.

Results
total DFT energy (no corrections)	-2.989	eV/atom
spin magnetization	3.7	μB/f.u.
energy above the most stable polymorph in this dataset	0.000	eV/atom
formation energy without anion corrections	0.53	eV per atom
Fermi-level density of states	1.0637	states/eV per atom

a b c (Å): 5.9583 5.9583 5.9583
angles (deg): 90.00 90.00 90.00
Closest atoms and distances in Å follow each position.
Positions (direct):
K: 0.0000 0.0000 0.5000  2 Cl 2.98
K: 0.0000 0.5000 0.0000  2 Cl 2.98
K: 0.5000 0.0000 0.0000  2 Cl 2.98
Re: 0.5000 0.5000 0.5000  12 K 4.21
Cl: 0.0000 0.0000 0.0000  6 K 2.98



Entry 2:
Here is Sc2SnAu4 after structural relaxation from the Alexandria database. Energies are from GGA-PBE.

Results
total DFT energy (no corrections)	-4.800	eV/atom
spin magnetization	0.0	μB/f.u.
E_form	-3.826	eV/f.u.
Fermi-level density of states	0.4510	states/eV per atom

a b c (Å): 7.3949 7.3949 7.3949
angles (deg): 37.94 37.94 37.94
Closest atoms and distances in Å follow each position.
Positions (direct):
Sc: 0.2244 0.2244 0.2244  5 Au 2.82-3.07, 3 Sn 3.02
Sc: 0.7756 0.7756 0.7756  5 Au 2.82-3.07, 3 Sn 3.02
Sn: 0.5000 0.5000 0.5000  2 Au 2.85, 6 Sc 3.02
Au: 0.0752 0.0752 0.0752  4 Sc 2.86-3.07, 4 Au 2.94-3.09
Au: 0.3613 0.3613 0.3613  1 Sc 2.82, 1 Sn 2.85, 6 Au 2.94-3.00
Au: 0.6387 0.6387 0.6387  1 Sc 2.82, 1 Sn 2.85, 6 Au 2.94-3.00
Au: 0.9248 0.9248 0.9248  4 Sc 2.86-3.07, 4 Au 2.94-3.09



Entry 3:
Here is BaNdTlBr6 after structural relaxation from the Alexandria database. Energies are from GGA-PBE.

Results
total DFT energy (no corrections)	-3.874	eV/atom
spin magnetization	0.0	μB/f.u.
formation energy without anion corrections	-1.75	eV per atom
Fermi-level density of states	0.0000	states/eV per atom

a b c (Å): 8.0652 8.0652 13.7751
angles (deg): 90.00 90.00 120.00
Closest atoms and distances in Å follow each position.
Positions (direct):
Ba: 0.3333 0.6667 0.2500  6 Br 3.25
Ba: 0.6667 0.3333 0.7500  6 Br 3.25
Nd: 0.3333 0.6667 0.7500  6 Br 2.91
Nd: 0.6667 0.3333 0.2500  6 Br 2.91
Tl: 0.0000 0.0000 0.0000  6 Br 3.41
Tl: 0.0000 0.0000 0.5000  6 Br 3.41
Br: 0.0314 0.3747 0.6295  1 Nd 2.91, 1 Ba 3.25
Br: 0.0314 0.6568 0.8705  1 Nd 2.91, 1 Ba 3.25
Br: 0.3432 0.3747 0.8705  1 Nd 2.91, 1 Ba 3.25
Br: 0.3432 0.9686 0.6295  1 Nd 2.91, 1 Ba 3.25
Br: 0.3747 0.0314 0.1295  1 Nd 2.91, 1 Ba 3.25
Br: 0.3747 0.3432 0.3705  1 Nd 2.91, 1 Ba 3.25
Br: 0.6253 0.6568 0.6295  1 Nd 2.91, 1 Ba 3.25
Br: 0.6253 0.9686 0.8705  1 Nd 2.91, 1 Ba 3.25
Br: 0.6568 0.0314 0.3705  1 Nd 2.91, 1 Ba 3.25
Br: 0.6568 0.6253 0.1295  1 Nd 2.91, 1 Ba 3.25
Br: 0.9686 0.3432 0.1295  1 Nd 2.91, 1 Ba 3.25
Br: 0.9686 0.6253 0.3705  1 Nd 2.91, 1 Ba 3.25



Entry 4:
Here is K2PmAs2S6 after structural relaxation from the Alexandria database. Energies are from GGA-PBE.

Results
total DFT energy (no corrections)	-4.557	eV/atom
spin magnetization	0.0	μB/f.u.
formation energy without anion corrections	-0.83	eV per atom
Fermi-level density of states	0.3207	states/eV per atom

a b c (Å): 6.9479 6.9479 8.4434
angles (deg): 113.80 113.80 62.24
Closest atoms and distances in Å follow each position.
Positions (direct):
K: 0.2010 0.2010 0.1785  5 S 3.23-3.39
K: 0.7990 0.7990 0.8215  5 S 3.23-3.39
Pm: 0.0000 0.0000 0.5000  6 S 2.75-2.85
As: 0.4552 0.4552 0.8110  3 S 2.23
As: 0.5448 0.5448 0.1890  3 S 2.23
S: 0.1899 0.6937 0.2083  1 As 2.23
S: 0.2548 0.2548 0.5905  1 As 2.23
S: 0.3063 0.8101 0.7917  1 As 2.23
S: 0.6937 0.1899 0.2083  1 As 2.23
S: 0.7452 0.7452 0.4095  1 As 2.23
S: 0.8101 0.3063 0.7917  1 As 2.23



Entry 5:
Here is PrAlZn4Cu2 after structural relaxation from the Alexandria database. Energies are from GGA-PBE.

Results
total DFT energy (no corrections)	-2.869	eV/atom
spin magnetization	0.0	μB/f.u.
E_form	-1.143	eV/f.u.
Fermi-level density of states	0.3587	states/eV per atom

a b c (Å): 9.3500 9.3500 9.3500
angles (deg): 26.06 26.06 26.06
Closest atoms and distances in Å follow each position.
Positions (direct):
Pr: 0.0000 0.0000 0.0000  8 Zn 3.08-3.34
Al: 0.5000 0.5000 0.5000  8 Zn 2.63-2.70
Zn: 0.1235 0.1235 0.1235  3 Cu 2.52, 3 Al 2.70
Zn: 0.4030 0.4030 0.4030  3 Cu 2.56, 1 Al 2.63, 3 Zn 2.84
Zn: 0.5970 0.5970 0.5970  3 Cu 2.56, 1 Al 2.63, 3 Zn 2.84
Zn: 0.8765 0.8765 0.8765  3 Cu 2.52, 3 Al 2.70
Cu: 0.2339 0.2339 0.2339  6 Zn 2.52-2.56
Cu: 0.7661 0.7661 0.7661  6 Zn 2.52-2.56



Entry 6:
Here is V3Rh2N after structural relaxation from the Alexandria database. Energies are from GGA-PBE.

Results
total DFT energy (no corrections)	-8.679	eV/atom
spin magnetization	0.0	μB/f.u.
formation energy without anion corrections	-0.28	eV per atom
Fermi-level density of states	0.9428	states/eV per atom

a b c (Å): 5.5626 5.5626 6.4442
angles (deg): 98.12 98.12 125.11
Closest atoms and distances in Å follow each position.
Positions (direct):
V: 0.0132 0.4260 0.7991  2 N 1.99-2.00
V: 0.1450 0.1450 0.1753  2 N 2.06, 1 V 2.29
V: 0.4260 0.0132 0.7991  2 N 1.99-2.00
V: 0.5740 0.9868 0.2009  2 N 1.99-2.00
V: 0.8550 0.8550 0.8247  2 N 2.06, 1 V 2.29
V: 0.9868 0.5740 0.2009  2 N 1.99-2.00
Rh: 0.0000 0.0000 0.5000  2 V 2.43
Rh: 0.3638 0.6362 0.5000  4 V 2.46-2.68, 1 Rh 2.69
Rh: 0.5000 0.5000 0.0000  6 V 2.42-2.60
Rh: 0.6362 0.3638 0.5000  4 V 2.46-2.68, 1 Rh 2.69
N: 0.1730 0.8270 0.0000  6 V 1.99-2.06
N: 0.8270 0.1730 0.0000  6 V 1.99-2.06



Entry 7:
Here is CoW3 after structural relaxation from the Alexandria database. Energies are from GGA-PBE.

Results
total DFT energy (no corrections)	-11.188	eV/atom
spin magnetization	0.0	μB/f.u.
energy above the most stable polymorph in this dataset	0.220	eV/atom
E_form	1.215	eV/f.u.
Fermi-level density of states	0.8566	states/eV per atom

a b c (Å): 2.6822 3.9204 5.7102
angles (deg): 90.00 90.00 90.00
Closest atoms and distances in Å follow each position.
Positions (direct):
Co: 0.0000 0.0000 0.0000  2 Co 2.68, 10 W 2.73-2.86
W: 0.0000 0.0000 0.5000  10 W 2.68-2.82, 2 Co 2.86
W: 0.5000 0.5000 0.2342  7 W 2.67-2.82, 4 Co 2.73
W: 0.5000 0.5000 0.7658  7 W 2.67-2.82, 4 Co 2.73



Entry 8:
Here is La3Zr after structural relaxation from the Alexandria database. Energies are from GGA-PBE.

Results
total DFT energy (no corrections)	-5.685	eV/atom
spin magnetization	0.0	μB/f.u.
E_form	0.589	eV/f.u.
Fermi-level density of states	1.7151	states/eV per atom

a b c (Å): 3.5386 3.5386 11.9052
angles (deg): 90.00 90.00 120.00
Closest atoms and distances in Å follow each position.
Positions (direct):
La: 0.0000 0.0000 0.0000  12 La 3.54-3.82
La: 0.6667 0.3333 0.2710  3 Zr 3.41, 6 La 3.54
La: 0.6667 0.3333 0.7290  3 Zr 3.41, 6 La 3.54
Zr: 0.0000 0.0000 0.5000  6 La 3.41, 6 Zr 3.54



Entry 9:
Here is Rb2LiTaS4 after structural relaxation from the Alexandria database. Energies are from GGA-PBE.

Results
total DFT energy (no corrections)	-5.299	eV/atom
spin magnetization	0.0	μB/f.u.
energy above the most stable polymorph in this dataset	0.000	eV/atom
formation energy without anion corrections	-1.27	eV per atom
Fermi-level density of states	0.0000	states/eV per atom

a b c (Å): 7.2285 11.5815 12.1496
angles (deg): 71.21 86.92 83.10
Closest atoms and distances in Å follow each position.
Positions (direct):
Rb: 0.1853 0.0980 0.2490  8 S 3.39-3.75
Rb: 0.2312 0.6197 0.7282  7 S 3.42-3.77
Rb: 0.2441 0.1567 0.8597  7 S 3.43-3.73
Rb: 0.2476 0.6529 0.3542  7 S 3.43-3.72
Rb: 0.7524 0.3471 0.6458  7 S 3.43-3.72
Rb: 0.7559 0.8433 0.1403  7 S 3.43-3.73
Rb: 0.7688 0.3803 0.2718  7 S 3.42-3.77
Rb: 0.8147 0.9020 0.7510  8 S 3.39-3.75
Li: 0.2997 0.4855 0.0781  4 S 2.48-2.54
Li: 0.3309 0.9910 0.5868  4 S 2.42-2.51
Li: 0.6691 0.0090 0.4132  4 S 2.42-2.51
Li: 0.7003 0.5145 0.9219  4 S 2.48-2.54
Ta: 0.2826 0.2736 0.4839  4 S 2.28-2.30
Ta: 0.2919 0.7720 0.9840  4 S 2.28-2.30
Ta: 0.7081 0.2280 0.0160  4 S 2.28-2.30
Ta: 0.7174 0.7264 0.5161  4 S 2.28-2.30
S: 0.0492 0.6593 0.9979  1 Ta 2.28, 1 Li 2.52
S: 0.0552 0.1452 0.5292  1 Ta 2.28, 1 Li 2.48
S: 0.2408 0.8933 0.1001  1 Ta 2.28
S: 0.2530 0.3977 0.5973  1 Ta 2.28
S: 0.2669 0.3834 0.2903  1 Ta 2.29, 1 Li 2.48
S: 0.3277 0.8878 0.7941  1 Ta 2.28, 1 Li 2.42
S: 0.4408 0.8521 0.4734  1 Ta 2.30, 2 Li 2.47-2.51
S: 0.4526 0.3684 0.9504  1 Ta 2.30, 2 Li 2.51-2.54
S: 0.5474 0.6316 0.0496  1 Ta 2.30, 2 Li 2.51-2.54
S: 0.5592 0.1479 0.5266  1 Ta 2.30, 2 Li 2.47-2.51
S: 0.6723 0.1122 0.2059  1 Ta 2.28, 1 Li 2.42
S: 0.7331 0.6166 0.7097  1 Ta 2.29, 1 Li 2.48
S: 0.7470 0.6023 0.4027  1 Ta 2.28
S: 0.7592 0.1067 0.8999  1 Ta 2.28
S: 0.9448 0.8548 0.4708  1 Ta 2.28, 1 Li 2.48
S: 0.9508 0.3407 0.0021  1 Ta 2.28, 1 Li 2.52



Entry 10:
Here is KLiAl after structural relaxation from the Alexandria database. Energies are from GGA-PBE.

Results
total DFT energy (no corrections)	-2.065	eV/atom
spin magnetization	0.0	μB/f.u.
energy above the most stable polymorph in this dataset	0.189	eV/atom
E_form	0.560	eV/f.u.
Fermi-level density of states	0.4402	states/eV per atom

a b c (Å): 6.7743 6.7743 6.7743
angles (deg): 153.54 141.43 47.38
Closest atoms and distances in Å follow each position.
Positions (direct):
K: 0.0000 0.0000 0.0000  2 K 3.10, 1 Li 3.33
Li: 0.7317 0.7317 0.0000  4 Al 2.82, 2 Li 3.10
Al: 0.2899 0.2899 0.0000  4 Li 2.82, 2 Al 3.10